# 1
{
  "formula": "Nd3CuSn2",
  "functional": "PBE",
  "state": "relaxed",
  "delta_e_f_ev_per_fu": -3.65,
  "sg": "Pnma, No. 62",
  "lattice_angstrom": [[4.547, 0.000, 0.000], [0.000, 12.080, 0.000], [0.000, 0.000, 12.467]],
  "species": ["Nd", "Nd", "Nd", "Nd", "Nd", "Nd", "Nd", "Nd", "Nd", "Nd", "Nd", "Nd", "Sn", "Sn", "Sn", "Sn", "Sn", "Sn", "Sn", "Sn", "Cu", "Cu", "Cu", "Cu"],
  "frac_coords": [[0.750, 0.873, 0.447], [0.250, 0.373, 0.053], [0.250, 0.700, 0.219], [0.250, 0.062, 0.873], [0.250, 0.127, 0.553], [0.750, 0.562, 0.627], [0.250, 0.438, 0.373], [0.750, 0.938, 0.127], [0.250, 0.800, 0.719], [0.750, 0.200, 0.281], [0.750, 0.300, 0.781], [0.750, 0.627, 0.947], [0.250, 0.817, 0.983], [0.750, 0.999, 0.690], [0.250, 0.683, 0.483], [0.250, 0.499, 0.810], [0.750, 0.317, 0.517], [0.750, 0.501, 0.190], [0.250, 0.001, 0.310], [0.750, 0.183, 0.017], [0.250, 0.130, 0.129], [0.250, 0.370, 0.629], [0.750, 0.870, 0.871], [0.750, 0.630, 0.371]]
}



# 2
{
  "formula": "MgCd2Se2S",
  "functional": "PBE",
  "state": "relaxed",
  "sg": "Cmc2_1, No. 36",
  "e_tot_ev_per_atom": -3.283,
  "lattice_angstrom": [[-0.521, 4.446, -5.309], [4.822, -4.043, -3.859], [-7.241, -1.432, -0.489]],
  "species": ["Mg", "Mg", "Cd", "Cd", "Cd", "Cd", "S", "S", "Se", "Se", "Se", "Se"],
  "frac_coords": [[0.820, 0.153, 0.000], [0.320, 0.847, 0.000], [0.801, 0.513, 0.679], [0.301, 0.487, 0.321], [0.301, 0.165, 0.679], [0.801, 0.835, 0.321], [0.676, 0.847, 0.000], [0.176, 0.153, 0.000], [0.188, 0.833, 0.321], [0.688, 0.167, 0.679], [0.188, 0.512, 0.679], [0.688, 0.488, 0.321]]
}



# 3
{
  "formula": "Gd2DyTh",
  "functional": "PBE",
  "state": "relaxed",
  "delta_e_f_ev_per_fu": 0.62,
  "sg": "Fm-3m, No. 225",
  "de_polymorph_ev_per_atom": 0.117,
  "lattice_angstrom": [[-5.293, -1.486, 1.483], [-2.726, -4.080, -2.887], [-0.961, -5.055, 2.437]],
  "species": ["Dy", "Gd", "Gd", "Th"],
  "frac_coords": [[0.000, 0.000, 0.000], [0.750, 0.750, 0.750], [0.250, 0.250, 0.250], [0.500, 0.500, 0.500]]
}



# 4
{
  "formula": "Ba2Tl5Hg4",
  "functional": "PBE",
  "state": "relaxed",
  "delta_e_f_ev_per_fu": -2.66,
  "sg": "C2/m, No. 12",
  "de_polymorph_ev_per_atom": 0.000,
  "lattice_angstrom": [[6.529, 0.000, 0.000], [3.265, 7.371, -0.422], [3.265, 1.299, 7.281]],
  "species": ["Hg", "Hg", "Hg", "Hg", "Ba", "Ba", "Tl", "Tl", "Tl", "Tl", "Tl"],
  "frac_coords": [[0.749, 0.909, 0.593], [0.251, 0.091, 0.407], [0.749, 0.592, 0.909], [0.251, 0.408, 0.091], [0.704, 0.296, 0.296], [0.296, 0.704, 0.704], [0.753, 0.820, 0.180], [0.753, 0.180, 0.820], [0.247, 0.180, 0.820], [0.247, 0.820, 0.180], [0.000, 0.500, 0.500]]
}